(1)
PBE-GGA ZnAs2Pt, optimized geometry; Fermi-level density of states = 1.85 states/eV/f.u.; VASP energy = -4.34 eV per atom; SG = Cmmm, No. 65; ΔH_f (0 K) = -183 meV/atom; size of the total moment = 0.00 μB per atom
1.0
3.9507 0.0000 0.0000
0.0000 4.8845 0.0981
0.0000 2.3241 4.2906
As Zn Pt
2 1 1
Cartesian
0.0000 3.1278 1.9035
0.0000 0.4764 0.2909
1.9754 5.4064 3.2915
1.9754 1.8021 1.0972

(2)
PBE-GGA Pr3PdRu, optimized geometry; Fermi-level density of states = 4.17 states/eV/f.u.; VASP energy = -6.06 eV per atom; SG = C2/c, No. 15; ΔH_f (0 K) = -301 meV/atom; size of the total moment = 0.00 μB per atom
1.0
8.3505 -0.3647 -0.2727
0.3154 7.8536 -1.2867
0.3154 0.9844 7.8972
Pd Pr Ru
4 12 4
Cartesian
2.4031 6.9552 -0.2756
6.5783 1.5182 6.6133
6.5783 4.9598 2.0120
2.4031 3.5136 4.3257
1.8614 5.4115 6.4706
7.1199 3.0618 -0.1329
7.8899 2.5369 3.4360
0.9737 0.9128 6.2777
1.0915 5.9365 2.9018
5.2668 4.2783 4.7385
6.0367 7.5535 3.2267
3.8324 2.3758 7.3720
8.0076 7.5606 0.0600
3.7146 4.1950 1.5992
2.9447 0.9199 3.1110
5.1490 6.0975 -1.0343
3.4935 6.7761 4.5297
5.4879 1.6973 1.8080
7.6688 6.0772 5.0840
1.3126 2.3962 1.2537

(3)
PBE-GGA CaHI2, optimized geometry; Fermi-level density of states = 0.00 states/eV/f.u.; VASP energy = -3.26 eV per atom; SG = Cm, No. 8; size of the total moment = 0.00 μB per atom
1.0
10.4785 0.0000 0.0000
0.0000 5.2529 0.0000
-10.3940 0.0000 12.1917
Ca I H
4 8 4
Cartesian
3.2715 0.0000 4.2387
5.5206 0.0000 0.6616
0.3236 2.6264 6.7575
-1.9255 2.6264 10.3346
0.1806 0.0000 5.0680
3.4178 2.6264 5.9326
2.5476 0.0000 1.3191
-5.0165 2.6264 11.1639
-1.7792 0.0000 12.0285
6.2420 0.0000 3.5805
1.0450 2.6264 9.6763
-2.6495 2.6264 7.4150
-1.2236 2.2502 2.6268
-6.4206 4.8767 8.7227
-1.2236 3.0026 2.6268
-6.4206 0.3762 8.7227

(4)
PBE-GGA KNa4Cd, optimized geometry; Fermi-level density of states = 3.70 states/eV/f.u.; VASP energy = -1.16 eV per atom; SG = F-43m, No. 216; ΔH_f (0 K) = 56 meV/atom; size of the total moment = 0.00 μB per atom
1.0
6.8102 0.0000 0.0000
3.4051 5.8978 0.0000
3.4051 1.9659 5.5605
Cd Na K
1 4 1
Cartesian
0.0000 0.0000 0.0000
6.8103 1.9422 3.4838
6.8103 3.9319 0.6698
5.0871 4.9268 3.4838
8.5334 4.9268 3.4838
3.4051 1.9659 1.3901

(5)
PBE-GGA LiHgGe, optimized geometry; Fermi-level density of states = 0.62 states/eV/f.u.; VASP energy = -2.39 eV per atom; SG = Pm, No. 6; ΔH_f (0 K) = -110 meV/atom; size of the total moment = 0.00 μB per atom
1.0
2.9751 0.0000 -0.0908
0.0000 2.9578 0.0000
-1.5604 0.0000 6.6127
Li Hg Ge
1 1 1
Cartesian
2.4472 1.4789 0.1340
1.0220 0.0000 2.1908
-0.6434 0.0000 4.8645

(6)
PBE-GGA TeHPb2, optimized geometry; Fermi-level density of states = 1.03 states/eV/f.u.; VASP energy = -3.37 eV per atom; SG = R-3m, No. 166; size of the total moment = 0.00 μB per atom
1.0
-4.1650 0.7270 0.1435
-2.6023 -2.0870 -2.6017
-2.9492 -5.3354 3.7905
Pb H Te
2 1 1
Cartesian
-2.3887 -1.3893 0.0643
-7.3278 -5.3062 1.2679
0.0000 0.0000 0.0000
-4.8582 -3.3477 0.6661

(7)
PBE-GGA AcSmC, optimized geometry; Fermi-level density of states = 1.44 states/eV/f.u.; VASP energy = -5.57 eV per atom; SG = I4mm, No. 107; ΔH_f (0 K) = 445 meV/atom; size of the total moment = 0.00 μB per atom
1.0
-1.2179 -0.2898 -3.1375
-2.4348 -2.0485 1.1343
-2.0519 6.3478 2.0288
C Sm Ac
1 1 1
Cartesian
-2.5546 3.4111 0.6766
-3.5635 1.1505 -0.5415
-5.2913 3.4575 -0.0839

(8)
PBE-GGA Hf6Si2P, optimized geometry; E_form (uncorrected) = -2.34 eV per formula unit; Fermi-level density of states = 5.07 states/eV/f.u.; VASP energy = -8.70 eV per atom; SG = P4_2/mnm, No. 136; size of the total moment = 0.00 μB per atom
1.0
5.9757 0.0000 0.0000
0.0000 5.9757 0.0000
0.0000 0.0000 11.2164
P Hf Si
2 12 4
Cartesian
2.9878 2.9878 5.6082
0.0000 0.0000 0.0000
4.7657 1.2100 9.3929
4.7657 1.2100 1.8235
1.7778 1.7778 3.7847
4.7452 1.2305 5.6082
1.2100 4.7657 1.8235
1.2305 4.7452 5.6082
4.1979 4.1979 3.7847
1.2100 4.7657 9.3929
4.2183 4.2183 0.0000
1.7778 1.7778 7.4318
4.1979 4.1979 7.4318
1.7574 1.7574 0.0000
2.9878 2.9878 1.8830
0.0000 0.0000 3.7252
0.0000 0.0000 7.4912
2.9878 2.9878 9.3334

(9)
PBE-GGA TmPuHgGe, optimized geometry; Fermi-level density of states = 9.82 states/eV/f.u.; VASP energy = -6.31 eV per atom; SG = F-43m, No. 216; ΔH_f (0 K) = -380 meV/atom; size of the total moment = 1.62 μB per atom
1.0
-3.8300 -3.1546 1.3833
1.0305 -4.8602 1.3600
-0.4879 -1.4573 4.9165
Tm Pu Hg Ge
1 1 1 1
Cartesian
-2.4655 -7.1041 5.7448
-0.8218 -2.3680 1.9149
0.0000 0.0000 0.0000
-1.6437 -4.7361 3.8299

(10)
PBE-GGA CuAsRu2, optimized geometry; Fermi-level density of states = 2.26 states/eV/f.u.; VASP energy = -6.62 eV per atom; SG = R3m, No. 160; ΔH_f (0 K) = 206 meV/atom; size of the total moment = 0.00 μB per atom
1.0
-6.7505 -5.0486 1.2256
-6.2238 -5.6257 -1.4749
-4.8341 -6.9919 0.5514
Cu Ru As
1 2 1
Cartesian
-13.3721 -13.2653 0.2269
-4.4282 -4.3929 0.0751
-17.7841 -17.6421 0.3017
-8.9366 -8.8652 0.1516

(11)
PBE-GGA Ho12Mg5Zn3, optimized geometry; Fermi-level density of states = 20.97 states/eV/f.u.; VASP energy = -2.78 eV per atom; SG = Ia-3d, No. 230; ΔH_f (0 K) = 557 meV/atom; size of the total moment = 0.00 μB per atom
1.0
15.2439 0.0000 0.0000
-5.0813 14.3721 0.0000
-5.0813 -7.1861 12.4466
Ho Zn Mg
48 12 20
Cartesian
5.8448 -0.9351 7.3560
-5.8448 3.9411 9.0915
5.3705 1.7838 11.6223
-3.1233 7.7899 9.5785
-0.7635 8.1212 5.0907
0.1084 5.1211 5.3990
10.9261 3.2450 3.3551
-2.6490 -5.7081 11.5354
7.7304 12.8942 0.9112
5.3705 -1.6058 11.3140
-1.9580 -0.8072 5.3121
2.2514 -1.7838 11.6223
-1.7772 -3.9411 9.0915
-0.2892 5.4023 0.8244
2.8299 8.9699 0.8244
8.2046 -0.6038 2.8682
6.8585 2.3099 1.7355
10.0542 1.4779 0.9112
-0.5827 0.6038 2.8682
10.4518 7.0081 1.9570
1.9580 5.7750 8.1803
-4.9729 5.7081 11.5354
7.7304 3.5429 4.4878
9.3991 -4.8762 10.7111
4.4986 -1.4110 4.2663
3.1233 1.4110 4.2663
7.0393 7.9933 7.1345
1.7772 0.9351 7.3560
7.3327 7.3640 1.9570
10.2710 -3.6432 7.9588
2.4323 9.2510 5.3990
-5.3705 0.1780 10.4896
-4.4986 6.3788 7.1345
-2.6490 3.6432 7.9588
6.8585 11.1272 3.3551
-2.2514 -0.1780 10.4896
-1.7772 4.8762 10.7111
5.6640 6.5822 9.5785
9.5800 0.8072 5.3121
0.5827 8.5971 8.1803
2.8299 5.5802 1.1326
2.2514 1.6058 11.3140
2.6490 -2.0650 7.0477
-0.2892 8.7919 1.1326
3.3042 6.2510 5.0907
-4.3178 12.0623 1.7355
4.9729 2.0650 7.0477
-5.1897 10.8292 4.4878
8.8923 4.4913 1.5558
1.2703 7.1861 3.1117
-6.3516 7.1861 9.3350
3.8110 8.0843 7.7791
11.4329 0.0000 3.1117
-1.2703 6.2878 7.7791
3.8110 0.0000 9.3350
1.2703 -0.8983 4.6675
-3.8110 -2.6948 10.8908
6.3516 0.8983 4.6675
-3.8110 2.6948 10.8908
8.8923 9.8808 1.5558
7.6220 0.0000 0.0000
6.3516 3.5930 9.3350
-2.5407 -3.5930 6.2233
3.8110 10.7791 3.1117
-2.5407 7.1861 0.0000
5.0813 7.1861 0.0000
-1.2703 11.6773 1.5558
3.8110 2.6948 1.5558
6.3516 -4.4913 10.8908
1.2703 4.4913 10.8908
8.8923 -0.8983 7.7791
0.0000 0.0000 0.0000
-1.2703 3.5930 3.1117
-5.0813 3.5930 6.2233
-1.2703 0.8983 7.7791
-3.8110 8.0843 4.6675
6.3516 6.2878 4.6675
2.5407 3.5930 6.2233
1.2703 -3.5930 9.3350
5.0813 -3.5930 6.2233

(12)
PBE-GGA BaS5, optimized geometry; E_form (uncorrected) = -2.87 eV per formula unit; Fermi-level density of states = 2.59 states/eV/f.u.; VASP energy = -4.24 eV per atom; SG = P2_1/m, No. 11; size of the total moment = 0.00 μB per atom
1.0
-1.3392 -4.5811 0.7394
6.5815 1.4215 -1.3433
1.8763 1.1279 10.3864
S Ba
10 2
Cartesian
6.6600 -1.2275 9.3742
5.8616 -1.7075 4.9544
2.7983 -2.3490 2.4615
3.9872 0.9447 3.3648
3.4767 0.6378 0.5390
1.2569 -0.3241 4.8282
4.3202 0.3173 7.3210
3.1314 -2.9763 6.4178
3.6418 -2.6695 9.2436
0.4585 -0.8041 0.4084
1.0281 -0.7598 8.0327
6.0904 -1.2718 1.7499

Which value of size of the total moment does entry 2 give?
0.00 μB per atom